1.
VASP calculation (GGA-PBE) on a relaxed structure of MgAgP.

Properties
The calculated formation energy is 0.834 eV/atom.

a = 4.7387 Å, b = 4.7387 Å, c = 9.3315 Å
α = 90.00°, β = 90.00°, γ = 120.00°
Atoms (fractional coordinates):
Mg 0.0000 0.0000 0.2500
Mg 0.0000 0.0000 0.7500
Ag 0.3333 0.6667 0.2500
Ag 0.6667 0.3333 0.7500
P 0.0000 0.0000 0.0000
P 0.0000 0.0000 0.5000



2.
VASP calculation (GGA-PBE) on a relaxed structure of AgSnPd.

Properties
The energy relative to the lowest polymorph listed for this composition is 22.9 kJ/mol of formula units. The calculated formation energy is -0.169 eV/atom.

a = 10.9899 Å, b = 3.3189 Å, c = 3.2927 Å
α = 90.00°, β = 90.59°, γ = 90.00°
Atoms (fractional coordinates):
Ag 0.0000 0.0000 0.0000
Ag 0.5000 0.5000 0.0000
Sn 0.2113 0.5000 0.9898
Sn 0.7113 0.0000 0.9898
Pd 0.3446 0.0000 0.4949
Pd 0.8446 0.5000 0.4949



3.
VASP calculation (GGA-PBE) on a relaxed structure of KCaVCr2.

Properties
The calculated formation energy is 2.549 eV/atom.

a = 5.0555 Å, b = 5.0555 Å, c = 5.3244 Å
α = 90.00°, β = 90.00°, γ = 90.00°
Atoms (fractional coordinates):
K 0.0000 0.0000 0.0000
Ca 0.5000 0.5000 0.5000
V 0.5000 0.5000 0.0000
Cr 0.0000 0.5000 0.5000
Cr 0.5000 0.0000 0.5000



4.
VASP calculation (GGA-PBE) on a relaxed structure of CeCd2Pt2.

Properties
The calculated formation energy is -0.609 eV/atom.

a = 5.4896 Å, b = 4.6181 Å, c = 9.1063 Å
α = 90.00°, β = 107.02°, γ = 90.00°
Atoms (fractional coordinates):
Ce 0.1041 0.2500 0.2686
Ce 0.8959 0.7500 0.7314
Cd 0.3377 0.2500 0.9478
Cd 0.4139 0.2500 0.6353
Cd 0.5861 0.7500 0.3647
Cd 0.6623 0.7500 0.0522
Pt 0.1451 0.7500 0.4804
Pt 0.1747 0.7500 0.0827
Pt 0.8253 0.2500 0.9173
Pt 0.8549 0.2500 0.5196



5.
VASP calculation (GGA-PBE) on a relaxed structure of Y2HBrCl.

a = 4.6930 Å, b = 4.6930 Å, c = 4.9774 Å
α = 90.00°, β = 90.00°, γ = 90.00°
Atoms (fractional coordinates):
Y 0.0000 0.5000 0.0000
Y 0.5000 0.0000 0.0000
H 0.0000 0.0000 0.0000
Br 0.0000 0.0000 0.5000
Cl 0.5000 0.5000 0.5000



6.
VASP calculation (GGA-PBE) on a relaxed structure of Li2VCrMo.

Properties
The calculated formation energy is 1.622 eV/atom.

a = 4.5278 Å, b = 4.5278 Å, c = 4.3104 Å
α = 90.00°, β = 90.00°, γ = 90.00°
Atoms (fractional coordinates):
Li 0.0000 0.5000 0.0000
Li 0.5000 0.0000 0.0000
V 0.0000 0.0000 0.5000
Cr 0.5000 0.5000 0.5000
Mo 0.5000 0.5000 0.0000



7.
VASP calculation (GGA-PBE) on a relaxed structure of SrEu3Tl.

Properties
The calculated formation energy is 0.018 eV/atom.

a = 6.2775 Å, b = 6.2775 Å, c = 6.2775 Å
α = 90.00°, β = 90.00°, γ = 90.00°
Atoms (fractional coordinates):
Sr 0.0000 0.0000 0.0000
Eu 0.0000 0.5000 0.5000
Eu 0.5000 0.0000 0.5000
Eu 0.5000 0.5000 0.0000
Tl 0.5000 0.5000 0.5000



8.
VASP calculation (GGA-PBE) on a relaxed structure of K2Dy2SbS6.

Properties
The calculation puts the formation energy without anion corrections at -1.3911 eV/atom.

a = 6.8769 Å, b = 6.8769 Å, c = 7.9030 Å
α = 98.36°, β = 98.36°, γ = 119.81°
Atoms (fractional coordinates):
K 0.1678 0.8322 0.0000
K 0.8322 0.1678 0.0000
Dy 0.3332 0.6668 0.5000
Dy 0.6668 0.3332 0.5000
Sb 0.0000 0.0000 0.5000
S 0.0641 0.3895 0.6949
S 0.2562 0.2562 0.3057
S 0.3895 0.0641 0.6949
S 0.6105 0.9359 0.3051
S 0.7438 0.7438 0.6943
S 0.9359 0.6105 0.3051



9.
VASP calculation (GGA-PBE) on a relaxed structure of DyGa4Pt2.

Properties
The energy relative to the lowest polymorph listed for this composition is 85.5 kJ/mol of formula units. The calculated formation energy is -0.687 eV/atom.

a = 7.9016 Å, b = 7.9016 Å, c = 4.1311 Å
α = 90.00°, β = 90.00°, γ = 90.00°
Atoms (fractional coordinates):
Dy 0.0000 0.0000 0.0000
Dy 0.5000 0.5000 0.5000
Ga 0.0817 0.3218 0.5000
Ga 0.1782 0.5817 0.0000
Ga 0.3218 0.0817 0.5000
Ga 0.4183 0.8218 0.0000
Ga 0.5817 0.1782 0.0000
Ga 0.6782 0.9183 0.5000
Ga 0.8218 0.4183 0.0000
Ga 0.9183 0.6782 0.5000
Pt 0.2189 0.7811 0.5000
Pt 0.2811 0.2811 0.0000
Pt 0.7189 0.7189 0.0000
Pt 0.7811 0.2189 0.5000



10.
VASP calculation (GGA-PBE) on a relaxed structure of CsBaIn2Sn.

Properties
The calculated formation energy is 0.177 eV/atom.

a = 5.8358 Å, b = 5.8358 Å, c = 6.6009 Å
α = 90.00°, β = 90.00°, γ = 90.00°
Atoms (fractional coordinates):
Cs 0.0000 0.0000 0.0000
Ba 0.5000 0.5000 0.0000
In 0.0000 0.5000 0.5000
In 0.5000 0.0000 0.5000
Sn 0.0000 0.0000 0.5000



11.
VASP calculation (GGA-PBE) on a relaxed structure of TlCdSn4.

Properties
The energy relative to the lowest polymorph listed for this composition is 0.0 kJ/mol of formula units. The calculated formation energy is 0.055 eV/atom.

a = 8.7029 Å, b = 9.5822 Å, c = 5.0846 Å
α = 90.00°, β = 125.63°, γ = 90.00°
Atoms (fractional coordinates):
Tl 0.0000 0.0000 0.0000
Tl 0.5000 0.5000 0.0000
Cd 0.0000 0.5000 0.5000
Cd 0.5000 0.0000 0.5000
Sn 0.2144 0.3361 0.2152
Sn 0.2144 0.6639 0.2152
Sn 0.2856 0.1639 0.7848
Sn 0.2856 0.8361 0.7848
Sn 0.7144 0.1639 0.2152
Sn 0.7144 0.8361 0.2152
Sn 0.7856 0.3361 0.7848
Sn 0.7856 0.6639 0.7848



12.
VASP calculation (GGA-PBE) on a relaxed structure of Y6Mg6Cu.

Properties
The energy relative to the lowest polymorph listed for this composition is 256.1 kJ/mol of formula units. The calculated formation energy is 0.371 eV/atom.

a = 6.6165 Å, b = 6.6165 Å, c = 10.5435 Å
α = 90.00°, β = 90.00°, γ = 120.00°
Atoms (fractional coordinates):
Y 0.0000 0.5000 0.2449
Y 0.0000 0.5000 0.7551
Y 0.5000 0.0000 0.2449
Y 0.5000 0.0000 0.7551
Y 0.5000 0.5000 0.2449
Y 0.5000 0.5000 0.7551
Mg 0.0000 0.0000 0.3352
Mg 0.0000 0.0000 0.6649
Mg 0.3333 0.6667 0.0000
Mg 0.3333 0.6667 0.5000
Mg 0.6667 0.3333 0.0000
Mg 0.6667 0.3333 0.5000
Cu 0.0000 0.0000 0.0000



13.
VASP calculation (GGA-PBE) on a relaxed structure of Ba3In3Ir.

Properties
The calculated formation energy is -0.349 eV/atom.

a = 7.0634 Å, b = 7.0634 Å, c = 17.5800 Å
α = 106.44°, β = 106.44°, γ = 35.86°
Atoms (fractional coordinates):
Ba 0.0213 0.0213 0.3937
Ba 0.1193 0.1193 0.9183
Ba 0.2444 0.2444 0.2511
Ba 0.7556 0.7556 0.7489
Ba 0.8807 0.8807 0.0817
Ba 0.9787 0.9787 0.6063
In 0.3099 0.3099 0.4606
In 0.4008 0.4008 0.9209
In 0.4690 0.4690 0.7628
In 0.5310 0.5310 0.2372
In 0.5992 0.5992 0.0791
In 0.6901 0.6901 0.5394
Ir 0.3006 0.3006 0.6223
Ir 0.6994 0.6994 0.3777



14.
VASP calculation (GGA-PBE) on a relaxed structure of Be2SbRh.

Properties
The calculation puts the formation energy without anion corrections at 0.0374 eV/atom.

a = 5.3544 Å, b = 5.4376 Å, c = 7.4431 Å
α = 90.00°, β = 90.00°, γ = 90.00°
Atoms (fractional coordinates):
Be 0.2500 0.2500 0.2500
Be 0.2500 0.2500 0.7500
Be 0.2500 0.7500 0.2500
Be 0.2500 0.7500 0.7500
Be 0.7500 0.2500 0.2500
Be 0.7500 0.2500 0.7500
Be 0.7500 0.7500 0.2500
Be 0.7500 0.7500 0.7500
Sb 0.0000 0.0000 0.0000
Sb 0.0000 0.5000 0.5000
Sb 0.5000 0.0000 0.5000
Sb 0.5000 0.5000 0.0000
Rh 0.0000 0.0000 0.5000
Rh 0.0000 0.5000 0.0000
Rh 0.5000 0.0000 0.0000
Rh 0.5000 0.5000 0.5000



15.
VASP calculation (GGA-PBE) on a relaxed structure of MgScB.

Properties
The energy relative to the lowest polymorph listed for this composition is 84.4 kJ/mol of formula units. The calculated formation energy is -0.134 eV/atom.

a = 5.2504 Å, b = 3.1644 Å, c = 6.4617 Å
α = 90.00°, β = 108.74°, γ = 90.00°
Atoms (fractional coordinates):
Mg 0.2255 0.2500 0.1697
Mg 0.7745 0.7500 0.8303
Sc 0.2213 0.2500 0.6839
Sc 0.7787 0.7500 0.3161
B 0.4223 0.7500 0.4984
B 0.5777 0.2500 0.5016



16.
VASP calculation (GGA-PBE) on a relaxed structure of TiCrP2.

Properties
The energy relative to the lowest polymorph listed for this composition is 124.2 kJ/mol of formula units. The calculated formation energy is -0.447 eV/atom.

a = 5.9160 Å, b = 5.9160 Å, c = 5.9160 Å
α = 90.00°, β = 90.00°, γ = 90.00°
Atoms (fractional coordinates):
Ti 0.0000 0.0000 0.0000
Ti 0.0000 0.5000 0.5000
Ti 0.5000 0.0000 0.5000
Ti 0.5000 0.5000 0.0000
Cr 0.0000 0.0000 0.5000
Cr 0.0000 0.5000 0.0000
Cr 0.5000 0.0000 0.0000
Cr 0.5000 0.5000 0.5000
P 0.2500 0.2500 0.2500
P 0.2500 0.2500 0.7500
P 0.2500 0.7500 0.2500
P 0.2500 0.7500 0.7500
P 0.7500 0.2500 0.2500
P 0.7500 0.2500 0.7500
P 0.7500 0.7500 0.2500
P 0.7500 0.7500 0.7500



17.
VASP calculation (GGA-PBE) on a relaxed structure of TiCuPS2.

Properties
The energy relative to the lowest polymorph listed for this composition is 128.6 kJ/mol of formula units. The calculation puts the formation energy without anion corrections at 0.4381 eV/atom.

a = 4.4558 Å, b = 4.4558 Å, c = 4.4737 Å
α = 90.00°, β = 90.00°, γ = 90.00°
Atoms (fractional coordinates):
Ti 0.0000 0.0000 0.0000
Cu 0.5000 0.5000 0.5000
P 0.5000 0.5000 0.0000
S 0.0000 0.5000 0.5000
S 0.5000 0.0000 0.5000



18.
VASP calculation (GGA-PBE) on a relaxed structure of NaLiTb2Au4.

Properties
The calculated formation energy is -0.651 eV/atom.

a = 8.4832 Å, b = 8.4832 Å, c = 8.4832 Å
α = 34.04°, β = 34.04°, γ = 34.04°
Atoms (fractional coordinates):
Na 0.0000 0.0000 0.0000
Li 0.5000 0.5000 0.5000
Tb 0.2496 0.2496 0.2496
Tb 0.7504 0.7504 0.7504
Au 0.1264 0.1264 0.1264
Au 0.3802 0.3802 0.3802
Au 0.6198 0.6198 0.6198
Au 0.8736 0.8736 0.8736



19.
VASP calculation (GGA-PBE) on a relaxed structure of B7C3.

Properties
The energy relative to the lowest polymorph listed for this composition is 162.3 kJ/mol of formula units. The calculated formation energy is 0.460 eV/atom.

a = 7.7750 Å, b = 7.7750 Å, c = 7.7750 Å
α = 160.04°, β = 35.51°, γ = 150.93°
Atoms (fractional coordinates):
B 0.0000 0.0000 0.0000
B 0.0973 0.3659 0.7314
B 0.2574 0.0759 0.1815
B 0.4188 0.9902 0.4286
B 0.5616 0.9902 0.5714
B 0.6345 0.3659 0.2686
B 0.8944 0.0759 0.8185
C 0.2164 0.3154 0.9010
C 0.4144 0.3154 0.0990
C 0.7935 0.2935 0.5000



20.
VASP calculation (GGA-PBE) on a relaxed structure of La8Tb3Cd.

Properties
The calculated formation energy is 0.399 eV/atom.

a = 8.5472 Å, b = 8.5472 Å, c = 8.5472 Å
α = 118.65°, β = 118.65°, γ = 92.35°
Atoms (fractional coordinates):
La 0.1107 0.1107 0.7300
La 0.2159 0.2159 0.4881
La 0.2722 0.7841 0.0000
La 0.3808 0.3808 0.2700
La 0.6192 0.8893 0.0000
La 0.7278 0.7278 0.5119
La 0.7841 0.2722 0.0000
La 0.8893 0.6192 0.0000
Tb 0.2500 0.7500 0.5000
Tb 0.5000 0.5000 0.0000
Tb 0.7500 0.2500 0.5000
Cd 0.0000 0.0000 0.0000



21.
VASP calculation (GGA-PBE) on a relaxed structure of LiCa2La2.

Properties
The energy relative to the lowest polymorph listed for this composition is 98.3 kJ/mol of formula units. The calculated formation energy is 0.237 eV/atom.

a = 7.8302 Å, b = 7.8302 Å, c = 6.0144 Å
α = 90.00°, β = 90.00°, γ = 90.00°
Atoms (fractional coordinates):
Li 0.0000 0.0000 0.0000
Li 0.5000 0.5000 0.0000
Ca 0.1510 0.3490 0.0000
Ca 0.3490 0.8490 0.0000
Ca 0.6510 0.1510 0.0000
Ca 0.8490 0.6510 0.0000
La 0.1615 0.6615 0.5000
La 0.3385 0.1615 0.5000
La 0.6615 0.8385 0.5000
La 0.8385 0.3385 0.5000



22.
VASP calculation (GGA-PBE) on a relaxed structure of LaNd2Gd.

Properties
The energy relative to the lowest polymorph listed for this composition is 2.4 kJ/mol of formula units. The calculated formation energy is 0.018 eV/atom.

a = 3.6834 Å, b = 3.6834 Å, c = 10.3413 Å
α = 90.00°, β = 90.00°, γ = 90.00°
Atoms (fractional coordinates):
La 0.0000 0.0000 0.0000
Nd 0.5000 0.5000 0.2548
Nd 0.5000 0.5000 0.7452
Gd 0.0000 0.0000 0.5000



23.
VASP calculation (GGA-PBE) on a relaxed structure of Li2Ca3Pd5.

Properties
The calculated formation energy is -0.598 eV/atom.

a = 9.8110 Å, b = 9.8110 Å, c = 3.8587 Å
α = 90.00°, β = 90.00°, γ = 90.00°
Atoms (fractional coordinates):
Li 0.1183 0.3817 0.0000
Li 0.3817 0.8817 0.0000
Li 0.6183 0.1183 0.0000
Li 0.8817 0.6183 0.0000
Ca 0.0000 0.0000 0.0000
Ca 0.1768 0.6768 0.0000
Ca 0.3232 0.1768 0.0000
Ca 0.5000 0.5000 0.0000
Ca 0.6768 0.8232 0.0000
Ca 0.8232 0.3232 0.0000
Pd 0.0000 0.5000 0.5000
Pd 0.0689 0.2175 0.5000
Pd 0.2175 0.9311 0.5000
Pd 0.2825 0.4311 0.5000
Pd 0.4311 0.7175 0.5000
Pd 0.5000 0.0000 0.5000
Pd 0.5689 0.2825 0.5000
Pd 0.7175 0.5689 0.5000
Pd 0.7825 0.0689 0.5000
Pd 0.9311 0.7825 0.5000



24.
VASP calculation (GGA-PBE) on a relaxed structure of Pm2Tm.

Properties
The energy relative to the lowest polymorph listed for this composition is 3.4 kJ/mol of formula units. The calculated formation energy is 0.036 eV/atom.

a = 6.1738 Å, b = 3.6157 Å, c = 17.6545 Å
α = 90.00°, β = 90.00°, γ = 90.00°
Atoms (fractional coordinates):
Pm 0.0809 0.2500 0.1617
Pm 0.0809 0.7500 0.3375
Pm 0.4191 0.2500 0.8375
Pm 0.4191 0.7500 0.6617
Pm 0.5809 0.2500 0.3383
Pm 0.5809 0.7500 0.1625
Pm 0.9191 0.2500 0.6625
Pm 0.9191 0.7500 0.8383
Tm 0.2498 0.2500 0.4998
Tm 0.2502 0.7500 0.9998
Tm 0.7498 0.2500 0.0002
Tm 0.7502 0.7500 0.5002



Number 1: DFT total energy -2.4510 eV/atom. Number 2: DFT total energy -4.1845 eV/atom. Number 3: DFT total energy -3.7437 eV/atom. Number 4: DFT total energy -4.5783 eV/atom. Number 5: DFT total energy -4.5793 eV/atom. Number 6: DFT total energy -5.0583 eV/atom. Number 7: DFT total energy -6.9566 eV/atom. Number 8: DFT total energy -5.0535 eV/atom. Number 9: DFT total energy -4.7997 eV/atom. Number 10: DFT total energy -2.2739 eV/atom. Number 11: DFT total energy -3.1609 eV/atom. Number 12: DFT total energy -3.6633 eV/atom. Number 13: DFT total energy -3.6123 eV/atom. Number 14: DFT total energy -4.6941 eV/atom. Number 15: DFT total energy -5.0014 eV/atom. Number 16: DFT total energy -7.5312 eV/atom. Number 17: DFT total energy -4.6931 eV/atom. Number 18: DFT total energy -3.8515 eV/atom. Number 19: DFT total energy -6.9811 eV/atom. Number 20: DFT total energy -4.1193 eV/atom. Number 21: DFT total energy -2.9170 eV/atom. Number 22: DFT total energy -7.1178 eV/atom. Number 23: DFT total energy -4.1776 eV/atom. Number 24: DFT total energy -4.6216 eV/atom.